(1)
# Zr2H2Au | Alexandria via LeMat-Bulk | meta-GGA SCAN | single point on PBEsol structure
# Crystal system = tetragonal
# Size of the total moment = 0.01 μB per formula unit
# Space-group type = I4/mmm (139)
# Total DFT energy (no corrections) = -140.8 eV/f.u.
data_Zr2H2Au
_cell_length_a 3.197
_cell_length_b 3.197
_cell_length_c 6.737
_cell_angle_alpha 103.73
_cell_angle_beta 103.73
_cell_angle_gamma 90.00
_space_group_name_H-M_alt 'P 1'
_space_group_IT_number 1
_space_group_name_Hall 'P 1'
loop_
_atom_site_label
_atom_site_type_symbol
_atom_site_fract_x
_atom_site_fract_y
_atom_site_fract_z
H1 H 0.250 0.750 0.500
H2 H 0.750 0.250 0.500
Zr1 Zr 0.354 0.354 0.708
Au1 Au 0.000 0.000 0.000
Zr2 Zr 0.646 0.646 0.292

(2)
# HfAu3 | Alexandria via LeMat-Bulk | meta-GGA SCAN | single point on PBEsol structure
# Crystal system = orthorhombic
# Size of the total moment = 0.00 μB per formula unit
# Space-group type = Pmmn (59)
# Formation energy = -631 meV/atom
# Total DFT energy (no corrections) = -272.7 eV/f.u.
data_HfAu3
_cell_length_a 4.782
_cell_length_b 4.880
_cell_length_c 5.978
_cell_angle_alpha 90.00
_cell_angle_beta 90.00
_cell_angle_gamma 90.00
_space_group_name_H-M_alt 'P 1'
_space_group_IT_number 1
_space_group_name_Hall 'P 1'
loop_
_atom_site_label
_atom_site_type_symbol
_atom_site_fract_x
_atom_site_fract_y
_atom_site_fract_z
Au1 Au 0.500 0.658 0.000
Au2 Au 0.500 0.165 0.248
Au3 Au 0.000 0.342 0.500
Hf1 Hf 0.500 0.661 0.500
Au4 Au 0.500 0.165 0.752
Hf2 Hf 0.000 0.339 0.000
Au5 Au 0.000 0.835 0.252
Au6 Au 0.000 0.835 0.748

(3)
# HfAuI2 | Alexandria via LeMat-Bulk | meta-GGA SCAN | single point on PBEsol structure
# Crystal system = cubic
# Size of the total moment = 0.99 μB per formula unit
# Formation energy without anion corrections = 1.11 eV per formula unit
# Space-group type = Fm-3m (225)
# Total DFT energy (no corrections) = -204.2 eV/f.u.
data_HfAuI2
_cell_length_a 5.071
_cell_length_b 5.071
_cell_length_c 5.071
_cell_angle_alpha 60.00
_cell_angle_beta 60.00
_cell_angle_gamma 60.00
_space_group_name_H-M_alt 'P 1'
_space_group_IT_number 1
_space_group_name_Hall 'P 1'
loop_
_atom_site_label
_atom_site_type_symbol
_atom_site_fract_x
_atom_site_fract_y
_atom_site_fract_z
I1 I 0.250 0.250 0.250
Au1 Au 0.500 0.500 0.500
Hf1 Hf 0.000 0.000 0.000
I2 I 0.750 0.750 0.750

(4)
# HfAuI3 | Alexandria via LeMat-Bulk | meta-GGA SCAN | single point on PBEsol structure
# Crystal system = cubic
# Size of the total moment = 2.31 μB per formula unit
# Formation energy without anion corrections = 3.58 eV per formula unit
# Space-group type = Pm-3m (221)
# Total DFT energy (no corrections) = -238.5 eV/f.u.
data_HfAuI3
_cell_length_a 5.452
_cell_length_b 5.452
_cell_length_c 5.452
_cell_angle_alpha 90.00
_cell_angle_beta 90.00
_cell_angle_gamma 90.00
_space_group_name_H-M_alt 'P 1'
_space_group_IT_number 1
_space_group_name_Hall 'P 1'
loop_
_atom_site_label
_atom_site_type_symbol
_atom_site_fract_x
_atom_site_fract_y
_atom_site_fract_z
Au1 Au 0.000 0.000 0.000
I1 I 0.000 0.500 0.000
I2 I 0.000 0.000 0.500
I3 I 0.500 0.000 0.000
Hf1 Hf 0.500 0.500 0.500